[1]
Here is a relaxed NaNpCl6 crystal from Alexandria. Energies are from GGA-PBE.

## Properties
The calculation puts the final energy at -4.72 eV per atom. The magnetic moment is 2.00 μB/f.u.

abc: 6.828 12.306 6.735
angles: 90.00 106.50 90.00
Space group C2/m (No. 12)
Unique sites:
Na 0.000 0.000 0.000 [2 per cell]
Np 0.000 0.500 0.500 [2 per cell]
Cl 0.216 0.356 0.730 [8 per cell]
Cl 0.240 0.500 0.276 [4 per cell]

---

[2]
Here is a relaxed Rb8SnTe6 crystal from Alexandria. Energies are from GGA-PBE.

## Properties
The calculation puts the final energy at -2.91 eV per atom. The magnetic moment is 0.11 μB/f.u.

abc: 11.023 9.899 13.854
angles: 90.00 90.00 90.00
Space group Pmn2_1 (No. 31)
Unique sites:
Rb 0.000 0.149 0.000 [2 per cell]
Rb 0.000 0.182 0.511 [2 per cell]
Rb 0.173 0.514 0.152 [4 per cell]
Rb 0.183 0.683 0.851 [4 per cell]
Rb 0.196 0.934 0.235 [4 per cell]
Sn 0.000 0.680 0.546 [2 per cell]
Te 0.000 0.229 0.259 [2 per cell]
Te 0.000 0.461 0.679 [2 per cell]
Te 0.000 0.791 0.051 [2 per cell]
Te 0.000 0.901 0.674 [2 per cell]
Te 0.209 0.669 0.431 [4 per cell]

---

Please write out number 2 again, unchanged.
Here is a relaxed Rb8SnTe6 crystal from Alexandria. Energies are from GGA-PBE.

## Properties
The calculation puts the final energy at -2.91 eV per atom. The magnetic moment is 0.11 μB/f.u.

abc: 11.023 9.899 13.854
angles: 90.00 90.00 90.00
Space group Pmn2_1 (No. 31)
Unique sites:
Rb 0.000 0.149 0.000 [2 per cell]
Rb 0.000 0.182 0.511 [2 per cell]
Rb 0.173 0.514 0.152 [4 per cell]
Rb 0.183 0.683 0.851 [4 per cell]
Rb 0.196 0.934 0.235 [4 per cell]
Sn 0.000 0.680 0.546 [2 per cell]
Te 0.000 0.229 0.259 [2 per cell]
Te 0.000 0.461 0.679 [2 per cell]
Te 0.000 0.791 0.051 [2 per cell]
Te 0.000 0.901 0.674 [2 per cell]
Te 0.209 0.669 0.431 [4 per cell]